Compound: YSbW
Source: Alexandria via LeMat-Bulk
Functional: GGA-PBEsol
Structure: optimized geometry

Structure (POSCAR):
```
YSbW
1.0
-2.646 2.298 -0.322
0.274 -0.176 -3.504
-2.216 -4.987 1.844
Y Sb W
1 1 1
Direct
0.329 0.329 0.658
0.027 0.027 0.053
0.644 0.644 0.288
```

## Properties
N(E_F): 1.8 states/eV/f.u.
E_form (uncorrected): 0.047 eV per atom
VASP energy: -25.05 eV for the cell shown
Total magnetization: 0.000 μB per formula unit
Distance to the lowest polymorph of the same formula: 0.000 eV/atom

***

Compound: YSb2W
Source: Alexandria via LeMat-Bulk
Functional: GGA-PBEsol
Structure: optimized geometry

Structure (POSCAR):
```
YSb2W
1.0
3.695 0.000 0.000
-1.847 4.004 0.023
0.000 -1.724 6.262
Y Sb W
1 2 1
Direct
0.500 0.000 0.000
0.260 0.521 0.291
0.740 0.479 0.709
0.000 0.000 0.500
```

## Properties
N(E_F): 3.6 states/eV/f.u.
E_form (uncorrected): -0.033 eV per atom
VASP energy: -29.88 eV for the cell shown
Total magnetization: 0.000 μB per formula unit
Distance to the lowest polymorph of the same formula: 0.000 eV/atom

***

Compound: YSbW
Source: Alexandria via LeMat-Bulk
Functional: GGA-PBEsol
Structure: optimized geometry

Structure (POSCAR):
```
YSbW
1.0
4.813 0.000 0.000
2.406 4.168 0.000
2.406 1.389 3.929
W Y Sb
1 1 1
Direct
0.500 0.500 0.500
0.750 0.750 0.750
0.000 0.000 0.000
```

## Properties
N(E_F): 4.0 states/eV/f.u.
E_form (uncorrected): 1.216 eV per atom
VASP energy: -21.54 eV for the cell shown
Total magnetization: 2.488 μB per formula unit
Distance to the lowest polymorph of the same formula: 1.170 eV/atom

***

Compound: YSb2W
Source: Alexandria via LeMat-Bulk
Functional: GGA-PBEsol
Structure: optimized geometry

Structure (POSCAR):
```
YSb2W
1.0
-1.087 1.064 -3.274
2.863 -1.628 -1.479
-3.578 -5.689 -0.662
W Sb Y
1 2 1
Direct
0.000 0.000 0.453
0.000 0.000 0.006
0.500 0.500 0.292
0.500 0.500 0.749
```

## Properties
N(E_F): 2.3 states/eV/f.u.
E_form (uncorrected): -0.009 eV per atom
VASP energy: -29.78 eV for the cell shown
Total magnetization: 0.000 μB per formula unit
Distance to the lowest polymorph of the same formula: 0.024 eV/atom